Entry from OQMD: crystalline HoGa2 at its relaxed geometry (PBE).

abc: 4.2206 4.2206 4.0603
angles: 90.00 90.00 120.00
Closest atoms and distances in Å follow each position.
Atoms (fractional coordinates):
1 Ho 0.0000 0.0000 0.0000  12 Ga 3.17
2 Ga 0.3333 0.6667 0.5000  3 Ga 2.44
3 Ga 0.6667 0.3333 0.5000  3 Ga 2.44

Calculated values
Its space group is No. 191. As for the crystal system: hexagonal.

=====

Entry from OQMD: crystalline HoLuGa2I2 at its relaxed geometry (PBE).

abc: 4.1672 4.1672 12.0385
angles: 90.00 90.00 120.00
Closest atoms and distances in Å follow each position.
Atoms (fractional coordinates):
1 Ho 0.0000 0.0000 0.0000  3 Ga 2.91, 3 I 3.12
2 Lu 0.0000 0.0000 0.6707  3 Ga 2.90, 3 I 3.11
3 Ga 0.3333 0.6667 0.8634  3 Ga 2.51
4 Ga 0.6667 0.3333 0.8047  3 Ga 2.51
5 I 0.3333 0.6667 0.5076  3 Lu 3.11
6 I 0.6667 0.3333 0.1655  3 Ho 3.12

Calculated values
Its space group is No. 156. As for the crystal system: trigonal.

=====

Entry from OQMD: crystalline Ho2GaNiI2 at its relaxed geometry (PBE).

abc: 4.1359 4.1359 11.6928
angles: 90.00 90.00 120.00
Closest atoms and distances in Å follow each position.
Atoms (fractional coordinates):
1 Ho 0.0000 0.0000 0.0000  3 Ni 2.98, 3 Ga 3.01, 3 I 3.17
2 Ho 0.0000 0.0000 0.3102  3 Ga 2.98, 3 Ni 3.02, 3 I 3.16
3 Ga 0.3333 0.6667 0.1573  3 Ni 2.39
4 Ni 0.6667 0.3333 0.1521  3 Ga 2.39
5 I 0.3333 0.6667 0.8214  3 Ho 3.17
6 I 0.6667 0.3333 0.4874  3 Ho 3.16

Calculated values
Its space group is No. 156. As for the crystal system: trigonal.

=====

Entry from OQMD: crystalline SmHoGa2I2 at its relaxed geometry (PBE).

abc: 4.2355 4.2355 12.2667
angles: 90.00 90.00 120.00
Closest atoms and distances in Å follow each position.
Atoms (fractional coordinates):
1 Sm 0.0000 0.0000 0.0000  3 Ga 2.97, 3 I 3.17-3.18
2 Ho 0.0000 0.0000 0.3307  3 Ga 2.97, 3 I 3.16
3 Ga 0.3333 0.6667 0.1938  3 Ga 2.54
4 Ga 0.6667 0.3333 0.1380  3 Ga 2.54
5 I 0.3333 0.6667 0.8349  3 Sm 3.17-3.18
6 I 0.6667 0.3333 0.4943  3 Ho 3.16

Calculated values
Its space group is No. 156. As for the crystal system: trigonal.

=====

Entry from OQMD: crystalline HoTmGa2I2 at its relaxed geometry (PBE).

abc: 4.1717 4.1717 12.0742
angles: 90.00 90.00 120.00
Closest atoms and distances in Å follow each position.
Atoms (fractional coordinates):
1 Ho 0.0000 0.0000 0.0000  3 Ga 2.92, 3 I 3.12
2 Tm 0.0000 0.0000 0.6701  3 Ga 2.92, 3 I 3.12
3 Ga 0.3333 0.6667 0.8634  3 Ga 2.50
4 Ga 0.6667 0.3333 0.8065  3 Ga 2.50
5 I 0.3333 0.6667 0.5064  3 Tm 3.12
6 I 0.6667 0.3333 0.1641  3 Ho 3.12

Calculated values
Its space group is No. 156. As for the crystal system: trigonal.

=====

Entry from OQMD: crystalline YHoGa2I2 at its relaxed geometry (PBE).

abc: 4.1933 4.1933 12.1457
angles: 90.00 90.00 120.00
Closest atoms and distances in Å follow each position.
Atoms (fractional coordinates):
1 Y 0.0000 0.0000 0.0000  3 Ga 2.94, 3 I 3.14
2 Ho 0.0000 0.0000 0.3304  3 Ga 2.94, 3 I 3.13
3 Ga 0.3333 0.6667 0.1936  3 Ga 2.52
4 Ga 0.6667 0.3333 0.1374  3 Ga 2.52
5 I 0.3333 0.6667 0.8360  3 Y 3.14
6 I 0.6667 0.3333 0.4943  3 Ho 3.13

Calculated values
Its space group is No. 156. As for the crystal system: trigonal.

=====

Entry from OQMD: crystalline HoInGa2 at its relaxed geometry (PBE).

abc: 4.7649 6.4718 6.4718
angles: 58.47 90.00 90.00
Closest atoms and distances in Å follow each position.
Atoms (fractional coordinates):
1 Ho 0.0000 0.0000 0.0000  8 Ga 3.04-3.38, 4 In 3.13
2 Ho 0.5000 0.3525 0.3525  8 Ga 3.09-3.17, 4 In 3.22-3.25
3 In 0.5000 0.3654 0.8479  5 Ga 2.93-2.98, 2 In 3.05-3.27, 4 Ho 3.13-3.25
4 In 0.5000 0.8479 0.3654  5 Ga 2.93-2.98, 2 In 3.05-3.27, 4 Ho 3.13-3.25
5 Ga 0.0000 0.5273 0.5273  2 Ga 2.96, 4 In 2.97, 4 Ho 3.09-3.18
6 Ga 0.0000 0.5316 0.9830  4 Ga 2.85-2.96, 2 In 2.93, 3 Ho 3.09-3.14
7 Ga 0.0000 0.9830 0.5316  4 Ga 2.85-2.96, 2 In 2.93, 3 Ho 3.09-3.14
8 Ga 0.5000 0.8330 0.8330  4 Ga 2.91, 2 In 2.98, 4 Ho 3.04-3.17

Calculated values
Its space group is No. 38. As for the crystal system: orthorhombic.

=====

Entry from OQMD: crystalline Ho2In3Ga3 at its relaxed geometry (PBE).

abc: 6.4874 6.4874 4.8785
angles: 90.00 90.00 120.00
Closest atoms and distances in Å follow each position.
Atoms (fractional coordinates):
1 Ho 0.0000 0.0000 0.0000  6 In 3.13, 6 Ga 3.25
2 Ho 0.3333 0.6667 0.5000  6 Ga 3.17, 6 In 3.24
3 In 0.3497 0.1748 0.5000  4 Ga 3.00, 2 In 3.08, 4 Ho 3.13-3.24
4 In 0.8252 0.1748 0.5000  4 Ga 3.00, 2 In 3.08, 4 Ho 3.13-3.24
5 In 0.8252 0.6503 0.5000  4 Ga 3.00, 2 In 3.08, 4 Ho 3.13-3.24
6 Ga 0.5142 0.0283 0.0000  2 Ga 2.97, 4 In 3.00, 4 Ho 3.17-3.25
7 Ga 0.5142 0.4858 0.0000  2 Ga 2.97, 4 In 3.00, 4 Ho 3.17-3.25
8 Ga 0.9717 0.4858 0.0000  2 Ga 2.97, 4 In 3.00, 4 Ho 3.17-3.25

Calculated values
Its space group is No. 187. As for the crystal system: hexagonal.

=====

Entry from OQMD: crystalline Ho5InGa2 at its relaxed geometry (PBE).

abc: 8.9687 8.9687 8.9687
angles: 129.03 129.03 74.96
Closest atoms and distances in Å follow each position.
Atoms (fractional coordinates):
1 Ho 0.0000 0.0000 0.0000  4 Ga 3.05
2 Ho 0.0227 0.5227 0.8331  3 Ga 3.06, 2 In 3.25
3 Ho 0.1896 0.0227 0.5000  3 Ga 3.06, 2 In 3.25
4 Ho 0.3104 0.8104 0.8331  3 Ga 3.06, 2 In 3.25
5 Ho 0.4773 0.3104 0.5000  3 Ga 3.06, 2 In 3.25
6 Ho 0.5000 0.5000 0.0000  4 Ga 3.05
7 Ho 0.5227 0.6896 0.5000  3 Ga 3.06, 2 In 3.25
8 Ho 0.6896 0.1896 0.1669  3 Ga 3.06, 2 In 3.25
9 Ho 0.8104 0.9773 0.5000  3 Ga 3.06, 2 In 3.25
10 Ho 0.9773 0.4773 0.1669  3 Ga 3.06, 2 In 3.25
11 In 0.2500 0.2500 0.0000  10 Ho 3.25-3.56
12 In 0.7500 0.7500 0.0000  10 Ho 3.25-3.56
13 Ga 0.1248 0.3752 0.5000  1 Ga 2.72
14 Ga 0.3752 0.8752 0.2504  1 Ga 2.72
15 Ga 0.6248 0.1248 0.7496  1 Ga 2.72
16 Ga 0.8752 0.6248 0.5000  1 Ga 2.72

Calculated values
Its space group is No. 140. As for the crystal system: tetragonal.

=====

Entry from OQMD: crystalline HoIn2Ga at its relaxed geometry (PBE).

abc: 4.9910 6.5355 6.5355
angles: 60.66 90.00 90.00
Closest atoms and distances in Å follow each position.
Atoms (fractional coordinates):
1 Ho 0.0000 0.0000 0.0000  8 In 3.18-3.30, 4 Ga 3.24-3.29
2 Ho 0.5000 0.3267 0.3267  4 Ga 3.18, 8 In 3.20-3.33
3 In 0.0000 0.5071 0.5071  4 In 3.09, 4 Ga 3.12-3.42, 4 Ho 3.22-3.30
4 In 0.5000 0.3449 0.8276  2 Ga 3.09, 6 In 3.09-3.43, 4 Ho 3.18-3.33
5 In 0.5000 0.8230 0.8230  4 Ga 3.06, 2 In 3.11, 4 Ho 3.20-3.30
6 In 0.5000 0.8276 0.3449  2 Ga 3.09, 6 In 3.09-3.43, 4 Ho 3.18-3.33
7 Ga 0.0000 0.5132 0.9809  6 In 3.06-3.42, 1 Ga 3.09, 4 Ho 3.18-3.29
8 Ga 0.0000 0.9809 0.5132  6 In 3.06-3.42, 1 Ga 3.09, 4 Ho 3.18-3.29

Calculated values
Its space group is No. 38. As for the crystal system: orthorhombic.

=====

Entry from OQMD: crystalline HoIn4GaIr at its relaxed geometry (PBE).

abc: 4.6115 4.6115 7.4204
angles: 90.00 90.00 90.00
Closest atoms and distances in Å follow each position.
Atoms (fractional coordinates):
1 Ho 0.0000 0.0000 0.0000  8 In 3.18, 4 Ga 3.26
2 In 0.0000 0.5000 0.2952  2 Ir 2.76, 1 In 3.04
3 In 0.0000 0.5000 0.7048  2 Ir 2.76, 1 In 3.04
4 In 0.5000 0.0000 0.2952  2 Ir 2.76, 1 In 3.04
5 In 0.5000 0.0000 0.7048  2 Ir 2.76, 1 In 3.04
6 Ga 0.5000 0.5000 0.0000  8 In 3.18, 4 Ho 3.26
7 Ir 0.0000 0.0000 0.5000  8 In 2.76

Calculated values
Its space group is No. 123. As for the crystal system: tetragonal.

=====

Entry from OQMD: crystalline La2HoMg3InGa2 at its relaxed geometry (PBE).

abc: 4.6646 7.4949 7.4949
angles: 119.21 90.00 90.00
Closest atoms and distances in Å follow each position.
Atoms (fractional coordinates):
1 La 0.0000 0.2180 0.7820  4 Ga 3.25-3.26, 1 In 3.31, 2 Mg 3.33
2 La 0.0000 0.7820 0.2180  4 Ga 3.25-3.26, 1 In 3.31, 2 Mg 3.33
3 Ho 0.0000 0.6527 0.6527  4 Ga 3.16, 1 In 3.21, 2 Mg 3.35
4 Mg 0.5000 0.2221 0.4678  2 Ga 2.87-2.96, 2 In 2.96, 1 Mg 3.18
5 Mg 0.5000 0.4678 0.2221  2 Ga 2.87-2.96, 2 In 2.96, 1 Mg 3.18
6 Mg 0.5000 0.9697 0.9697  2 Ga 2.83, 2 In 3.05
7 In 0.0000 0.2289 0.2289  6 Mg 2.96-3.05, 1 Ho 3.21, 2 La 3.31
8 Ga 0.5000 0.5566 0.8787  3 Mg 2.83-2.96, 2 Ho 3.16
9 Ga 0.5000 0.8787 0.5566  3 Mg 2.83-2.96, 2 Ho 3.16

Calculated values
Its space group is No. 38. As for the crystal system: orthorhombic.

=====

Ordered calculated total energy results: -12.52 -24.11 -26.74 -24.69 -24.18 -26.39 -15.02 -29.42 -35.50 -14.49 -29.82 -32.06; unit eV per formula unit.